# CuSbOsF PBE-GGA optimized geometry
# - Space-group type: Cm (8)
# - Total energy: -22.2 eV/cell
# - Formation energy from raw total energies: -0.84 eV per formula unit
# - Total magnetic moment: 0.000 μB/atom
data_CuSbOsF
_chemical_formula_sum 'Cu1 Sb1 Os1 F1'
_cell_length_a 3.067
_cell_length_b 3.067
_cell_length_c 8.173
_cell_angle_alpha 100.78
_cell_angle_beta 100.78
_cell_angle_gamma 60.02
_space_group_name_H-M_alt 'P 1'
_space_group_IT_number 1
_space_group_name_Hall 'P 1'
loop_
_atom_site_label
_atom_site_fract_x
_atom_site_fract_y
_atom_site_fract_z
Cu1 0.000 0.000 0.000
Sb1 0.836 0.836 0.502
Os1 0.587 0.587 0.757
F1 0.380 0.380 0.145